Record 1
# ZrC | Alexandria | PBE | relaxed
# - Energy relative to the elements: -91.9 meV/atom
# - Distance to the lowest polymorph of the same formula: 715.2 meV per atom
# - Uncorrected energy: -8.98 eV/atom
# - Crystal system: tetragonal
# - Fermi-level density of states: 0.44 states/eV/f.u.
# - V: 14.31 Å³/atom
# - Theoretical density: 6.0 g/cm3
data_ZrC
_cell_length_a 4.271
_cell_length_b 4.271
_cell_length_c 3.138
_cell_angle_alpha 90.00
_cell_angle_beta 90.00
_cell_angle_gamma 90.00
_symmetry_space_group_name_H-M 'P 4/n m m'
_symmetry_Int_Tables_number 129
loop_
_symmetry_equiv_pos_as_xyz
'x,y,z'
'-x,-y,-z'
'-y+1/2,x,z'
'y+1/2,-x,-z'
'-x+1/2,-y+1/2,z'
'x+1/2,y+1/2,-z'
'y,-x+1/2,z'
'-y,x+1/2,-z'
'x+1/2,-y,-z'
'-x+1/2,y,z'
'-y,-x,-z'
'y,x,z'
'-x,y+1/2,-z'
'x,-y+1/2,z'
'y+1/2,x+1/2,-z'
'-y+1/2,-x+1/2,z'
loop_
_atom_site_label
_atom_site_fract_x
_atom_site_fract_y
_atom_site_fract_z
Zr1 0.250 0.250 0.219
C1 0.250 0.750 0.000


Record 2
# Pr4In2Cl | Alexandria | PBE | relaxed
# - Uncorrected energy: -4.29 eV/atom
# - Crystal system: tetragonal
# - Fermi-level density of states: 5.17 states/eV/f.u.
# - E_form (uncorrected): -3.61 eV/f.u.
# - V: 33.26 Å³/atom
# - Theoretical density: 5.9 g/cm3
data_Pr4In2Cl
_cell_length_a 5.301
_cell_length_b 5.301
_cell_length_c 16.572
_cell_angle_alpha 90.00
_cell_angle_beta 90.00
_cell_angle_gamma 90.00
_symmetry_space_group_name_H-M 'I 4/m m m'
_symmetry_Int_Tables_number 139
_symmetry_space_group_name_Hall '-I 4 2'
loop_
_atom_site_label
_atom_site_fract_x
_atom_site_fract_y
_atom_site_fract_z
Pr1 0.000 0.000 0.175
Pr2 0.000 0.500 0.000
In1 0.000 0.000 0.371
Cl1 0.000 0.000 0.000


Record 3
# BaAlZn | Alexandria | PBE | relaxed
# - Energy relative to the elements: -203.1 meV/atom
# - Distance to the lowest polymorph of the same formula: 0.0 meV per atom
# - Uncorrected energy: -2.52 eV/atom
# - Crystal system: orthorhombic
# - Fermi-level density of states: 1.42 states/eV/f.u.
# - V: 31.99 Å³/atom
# - Theoretical density: 4.0 g/cm3
data_BaAlZn
_cell_length_a 4.342
_cell_length_b 20.241
_cell_length_c 4.367
_cell_angle_alpha 90.00
_cell_angle_beta 90.00
_cell_angle_gamma 90.00
_symmetry_space_group_name_H-M 'C m c m'
_symmetry_Int_Tables_number 63
_symmetry_space_group_name_Hall '-C 2c 2'
loop_
_atom_site_label
_atom_site_fract_x
_atom_site_fract_y
_atom_site_fract_z
Ba1 0.000 0.106 0.250
Al1 0.000 0.250 0.750
Zn1 0.000 0.324 0.250